1.
AcGa5Pt3 | PBE | optimized geometry

Cell and atoms, written as CIF:
```
data_AcGa5Pt3
_cell_length_a 4.1745
_cell_length_b 6.8472
_cell_length_c 12.8818
_cell_angle_alpha 90.00
_cell_angle_beta 90.00
_cell_angle_gamma 107.75
_space_group_name_H-M_alt 'P 1'
_space_group_IT_number 1
loop_
_space_group_symop_operation_xyz
'x,y,z'
loop_
_atom_site_label
_atom_site_type_symbol
_atom_site_fract_x
_atom_site_fract_y
_atom_site_fract_z
Ac1 Ac 0.8322 0.6645 0.7500
Ac2 Ac 0.1678 0.3355 0.2500
Ga1 Ga 0.8006 0.6013 0.4362
Ga2 Ga 0.1994 0.3987 0.9362
Ga3 Ga 0.0000 0.0000 0.5000
Ga4 Ga 0.0000 0.0000 0.0000
Ga5 Ga 0.4456 0.8911 0.1520
Ga6 Ga 0.5544 0.1089 0.8480
Ga7 Ga 0.5544 0.1089 0.6520
Ga8 Ga 0.8006 0.6013 0.0638
Ga9 Ga 0.1994 0.3987 0.5638
Ga10 Ga 0.4456 0.8911 0.3480
Pt1 Pt 0.3887 0.7775 0.9566
Pt2 Pt 0.8731 0.7461 0.2500
Pt3 Pt 0.3887 0.7775 0.5434
Pt4 Pt 0.6113 0.2225 0.4566
Pt5 Pt 0.1269 0.2539 0.7500
Pt6 Pt 0.6113 0.2225 0.0434
```

Values from the calculation:
* mass density: 10.99 g/cm³
* formation enthalpy at 0 K: -730 meV per atom
* space group: Cmcm
* crystal system: orthorhombic



2.
AcGa2Pt6 | PBE | optimized geometry

Cell and atoms, written as CIF:
```
data_AcGa2Pt6
_cell_length_a 8.1332
_cell_length_b 8.1332
_cell_length_c 8.1332
_cell_angle_alpha 60.00
_cell_angle_beta 60.00
_cell_angle_gamma 60.00
_space_group_name_H-M_alt 'P 1'
_space_group_IT_number 1
loop_
_space_group_symop_operation_xyz
'x,y,z'
loop_
_atom_site_label
_atom_site_type_symbol
_atom_site_fract_x
_atom_site_fract_y
_atom_site_fract_z
Ac1 Ac 0.5000 0.5000 0.5000
Ac2 Ac 0.7500 0.7500 0.7500
Ga1 Ga 0.1250 0.1250 0.1250
Ga2 Ga 0.1250 0.6250 0.1250
Ga3 Ga 0.1250 0.1250 0.6250
Ga4 Ga 0.6250 0.1250 0.1250
Pt1 Pt 0.2456 0.2456 0.7544
Pt2 Pt 0.7544 0.7544 0.2456
Pt3 Pt 0.2456 0.7544 0.2456
Pt4 Pt 0.2456 0.7544 0.7544
Pt5 Pt 0.4956 0.4956 0.0044
Pt6 Pt 0.4956 0.0044 0.0044
Pt7 Pt 0.7544 0.2456 0.7544
Pt8 Pt 0.0044 0.0044 0.4956
Pt9 Pt 0.4956 0.0044 0.4956
Pt10 Pt 0.0044 0.4956 0.4956
Pt11 Pt 0.7544 0.2456 0.2456
Pt12 Pt 0.0044 0.4956 0.0044
```

Values from the calculation:
* mass density: 13.42 g/cm³
* formation enthalpy at 0 K: -453 meV per atom
* space group: Fd-3m
* crystal system: cubic



3.
Ac6Ga2Pt | PBE | optimized geometry

Cell and atoms, written as CIF:
```
data_Ac6Ga2Pt
_cell_length_a 7.1789
_cell_length_b 8.5926
_cell_length_c 10.7704
_cell_angle_alpha 90.00
_cell_angle_beta 89.47
_cell_angle_gamma 90.00
_space_group_name_H-M_alt 'P 1'
_space_group_IT_number 1
loop_
_space_group_symop_operation_xyz
'x,y,z'
loop_
_atom_site_label
_atom_site_type_symbol
_atom_site_fract_x
_atom_site_fract_y
_atom_site_fract_z
Ac1 Ac 0.8587 0.9571 0.2416
Ac2 Ac 0.8460 0.6758 0.5623
Ac3 Ac 0.8492 0.6799 0.9309
Ac4 Ac 0.6508 0.1799 0.5691
Ac5 Ac 0.6540 0.1758 0.9377
Ac6 Ac 0.6413 0.4571 0.2584
Ac7 Ac 0.1413 0.0429 0.7584
Ac8 Ac 0.1540 0.3242 0.4377
Ac9 Ac 0.1508 0.3201 0.0691
Ac10 Ac 0.3492 0.8201 0.4309
Ac11 Ac 0.3460 0.8242 0.0623
Ac12 Ac 0.3587 0.5429 0.7416
Ga1 Ga 0.9417 0.3851 0.7501
Ga2 Ga 0.5583 0.8851 0.7499
Ga3 Ga 0.4417 0.1149 0.2501
Ga4 Ga 0.0583 0.6149 0.2499
Pt1 Pt 0.5000 0.5000 0.0000
Pt2 Pt 0.0000 0.0000 0.5000
```

Values from the calculation:
* mass density: 8.48 g/cm³
* formation enthalpy at 0 K: -433 meV per atom
* space group: P2_1/c
* crystal system: monoclinic



4.
Ac6Ga3Pt | PBE | optimized geometry

Cell and atoms, written as CIF:
```
data_Ac6Ga3Pt
_cell_length_a 7.2302
_cell_length_b 8.9952
_cell_length_c 11.0550
_cell_angle_alpha 90.00
_cell_angle_beta 87.51
_cell_angle_gamma 90.00
_space_group_name_H-M_alt 'P 1'
_space_group_IT_number 1
loop_
_space_group_symop_operation_xyz
'x,y,z'
loop_
_atom_site_label
_atom_site_type_symbol
_atom_site_fract_x
_atom_site_fract_y
_atom_site_fract_z
Ac1 Ac 0.6534 0.1683 0.9375
Ac2 Ac 0.6396 0.1857 0.5731
Ac3 Ac 0.6594 0.4387 0.2549
Ac4 Ac 0.3406 0.5613 0.7451
Ac5 Ac 0.3604 0.8143 0.4269
Ac6 Ac 0.3466 0.8317 0.0625
Ac7 Ac 0.1534 0.3317 0.4375
Ac8 Ac 0.1396 0.3143 0.0731
Ac9 Ac 0.1594 0.0613 0.7549
Ac10 Ac 0.8406 0.9387 0.2451
Ac11 Ac 0.8604 0.6857 0.9269
Ac12 Ac 0.8466 0.6683 0.5625
Ga1 Ga 0.5673 0.8883 0.7443
Ga2 Ga 0.5000 0.5000 0.0000
Ga3 Ga 0.4327 0.1117 0.2557
Ga4 Ga 0.0673 0.6117 0.2443
Ga5 Ga 0.0000 0.0000 0.5000
Ga6 Ga 0.9327 0.3883 0.7557
Pt1 Pt 0.5000 0.5000 0.5000
Pt2 Pt 0.0000 0.0000 0.0000
```

Values from the calculation:
* mass density: 8.17 g/cm³
* formation enthalpy at 0 K: -434 meV per atom
* space group: P2_1/c
* crystal system: monoclinic



5.
Ac3Ga4Pt2 | PBE | optimized geometry

Cell and atoms, written as CIF:
```
data_Ac3Ga4Pt2
_cell_length_a 4.5001
_cell_length_b 6.2532
_cell_length_c 9.0323
_cell_angle_alpha 107.49
_cell_angle_beta 90.00
_cell_angle_gamma 111.09
_space_group_name_H-M_alt 'P 1'
_space_group_IT_number 1
loop_
_space_group_symop_operation_xyz
'x,y,z'
loop_
_atom_site_label
_atom_site_type_symbol
_atom_site_fract_x
_atom_site_fract_y
_atom_site_fract_z
Ac1 Ac 0.6775 0.3549 0.6458
Ac2 Ac 0.0000 0.0000 0.0000
Ac3 Ac 0.3225 0.6451 0.3542
Ga1 Ga 0.7416 0.4832 0.0802
Ga2 Ga 0.2584 0.5168 0.9198
Ga3 Ga 0.9733 0.9465 0.6392
Ga4 Ga 0.0267 0.0535 0.3608
Pt1 Pt 0.6072 0.2144 0.2712
Pt2 Pt 0.3928 0.7856 0.7288
```

Values from the calculation:
* mass density: 9.99 g/cm³
* formation enthalpy at 0 K: -854 meV per atom
* space group: C2/m
* crystal system: monoclinic
* energy above the lowest structure with this stoichiometry: 0.0 meV per atom



6.
Ac2GaPt2 | PBE | optimized geometry

Cell and atoms, written as CIF:
```
data_Ac2GaPt2
_cell_length_a 4.3657
_cell_length_b 6.3355
_cell_length_c 10.3141
_cell_angle_alpha 84.27
_cell_angle_beta 77.78
_cell_angle_gamma 69.85
_space_group_name_H-M_alt 'P 1'
_space_group_IT_number 1
loop_
_space_group_symop_operation_xyz
'x,y,z'
loop_
_atom_site_label
_atom_site_type_symbol
_atom_site_fract_x
_atom_site_fract_y
_atom_site_fract_z
Ac1 Ac 0.6842 0.2852 0.3463
Ac2 Ac 0.9133 0.2740 0.8995
Ac3 Ac 0.3158 0.7148 0.6537
Ac4 Ac 0.0867 0.7260 0.1005
Ga1 Ga 0.6014 0.1291 0.6681
Ga2 Ga 0.3986 0.8709 0.3319
Pt1 Pt 0.0564 0.3015 0.5858
Pt2 Pt 0.6440 0.8358 0.8763
Pt3 Pt 0.9436 0.6985 0.4142
Pt4 Pt 0.3560 0.1642 0.1237
```

Values from the calculation:
* mass density: 11.60 g/cm³
* formation enthalpy at 0 K: -1000 meV per atom
* space group: C2/m
* crystal system: monoclinic



7.
AcGa2Pt | PBE | optimized geometry

Cell and atoms, written as CIF:
```
data_AcGa2Pt
_cell_length_a 4.3394
_cell_length_b 6.1443
_cell_length_c 7.2012
_cell_angle_alpha 90.00
_cell_angle_beta 90.00
_cell_angle_gamma 110.68
_space_group_name_H-M_alt 'P 1'
_space_group_IT_number 1
loop_
_space_group_symop_operation_xyz
'x,y,z'
loop_
_atom_site_label
_atom_site_type_symbol
_atom_site_fract_x
_atom_site_fract_y
_atom_site_fract_z
Ac1 Ac 0.9355 0.8710 0.2500
Ac2 Ac 0.0645 0.1290 0.7500
Ga1 Ga 0.3421 0.6843 0.9409
Ga2 Ga 0.6579 0.3157 0.0591
Ga3 Ga 0.6579 0.3157 0.4409
Ga4 Ga 0.3421 0.6843 0.5591
Pt1 Pt 0.2169 0.4339 0.2500
Pt2 Pt 0.7831 0.5661 0.7500
```

Values from the calculation:
* mass density: 10.38 g/cm³
* formation enthalpy at 0 K: -826 meV per atom
* space group: Cmcm
* crystal system: orthorhombic
* energy above the lowest structure with this stoichiometry: 0.0 meV per atom



8.
Ac2Ga5Pt | PBE | optimized geometry

Cell and atoms, written as CIF:
```
data_Ac2Ga5Pt
_cell_length_a 6.6147
_cell_length_b 6.6147
_cell_length_c 6.6147
_cell_angle_alpha 84.93
_cell_angle_beta 122.97
_cell_angle_gamma 122.97
_space_group_name_H-M_alt 'P 1'
_space_group_IT_number 1
loop_
_space_group_symop_operation_xyz
'x,y,z'
loop_
_atom_site_label
_atom_site_type_symbol
_atom_site_fract_x
_atom_site_fract_y
_atom_site_fract_z
Ac1 Ac 0.5000 0.2368 0.7368
Ac2 Ac 0.5000 0.7368 0.2368
Ga1 Ga 0.4265 0.7000 0.7000
Ga2 Ga 0.0000 0.7000 0.2735
Ga3 Ga 0.0000 0.2735 0.7000
Ga4 Ga 0.5735 0.2735 0.2735
Ga5 Ga 0.0000 0.2818 0.2818
Pt1 Pt 0.0000 0.0197 0.0197
```

Values from the calculation:
* mass density: 8.51 g/cm³
* formation enthalpy at 0 K: -554 meV per atom
* space group: I4mm
* crystal system: tetragonal



Among the records above, which one has the lowest mass density?
Ac6Ga3Pt